Record 1
Cs2PuSe3: optimized geometry, GGA-PBE.

a b c (Å): 13.707 9.615 7.703
angles (deg): 90.00 94.29 90.00
Space group C2/c (No. 15)
Unique sites:
Cs1 0.158 0.157 0.212 [8 per cell]
Pu1 0.000 0.421 0.750 [4 per cell]
Se1 0.000 0.144 0.750 [4 per cell]
Se2 0.136 0.480 0.506 [8 per cell]

Properties
The density comes out at 4.9 g cm⁻³. For the raw formation energy, the calculation gives -1.244 eV/atom. The density of states at the Fermi level is 1.16 states/eV per atom.

***

Record 2
CsPu2Se3: optimized geometry, GGA-PBE.

a b c (Å): 4.164 13.338 7.431
angles (deg): 90.00 90.00 90.00
Space group Pmc2_1 (No. 26)
Unique sites:
Cs1 0.000 0.108 0.000 [2 per cell]
Pu1 0.000 0.246 0.478 [2 per cell]
Pu2 0.500 0.484 0.964 [2 per cell]
Se1 0.000 0.422 0.703 [2 per cell]
Se2 0.500 0.115 0.595 [2 per cell]
Se3 0.500 0.325 0.238 [2 per cell]

Properties
The density comes out at 6.9 g cm⁻³. For the raw formation energy, the calculation gives -1.302 eV/atom. The density of states at the Fermi level is 4.52 states/eV per atom.

***

Record 3
Cs2Pu3Se6: optimized geometry, GGA-PBE.

a b c (Å): 7.343 12.718 8.851
angles (deg): 90.00 106.04 90.00
Space group C2/m (No. 12)
Unique sites:
Cs1 0.000 0.167 0.000 [4 per cell]
Pu1 0.000 0.000 0.500 [2 per cell]
Pu2 0.000 0.334 0.500 [4 per cell]
Se1 0.226 0.167 0.679 [8 per cell]
Se2 0.227 0.500 0.679 [4 per cell]

Properties
The density comes out at 6.2 g cm⁻³. For the raw formation energy, the calculation gives -1.446 eV/atom. The density of states at the Fermi level is 2.87 states/eV per atom.

***

Record 4
CsPu4Se6: optimized geometry, GGA-PBE.

a b c (Å): 4.224 14.005 22.116
angles (deg): 90.00 90.00 90.00
Space group Cmcm (No. 63)
Unique sites:
Cs1 0.000 0.162 0.250 [4 per cell]
Pu1 0.000 0.096 0.627 [8 per cell]
Pu2 0.000 0.364 0.540 [8 per cell]
Se1 0.000 0.000 0.000 [4 per cell]
Se2 0.000 0.137 0.750 [4 per cell]
Se3 0.000 0.270 0.080 [8 per cell]
Se4 0.000 0.466 0.648 [8 per cell]

Properties
The density comes out at 8.0 g cm⁻³. For the raw formation energy, the calculation gives -1.456 eV/atom. The density of states at the Fermi level is 3.70 states/eV per atom.

***

Record 5
CsPu6Se8: optimized geometry, GGA-PBE.

a b c (Å): 10.6278 10.6278 3.5496
angles (deg): 90.00 90.00 120.00
Space group P-3 (No. 147)
Unique sites:
Cs1 0.0000 0.0000 0.0000 [1 per cell]
Pu1 0.0713 0.4891 0.2494 [6 per cell]
Se1 0.1052 0.7640 0.2657 [6 per cell]
Se2 0.3333 0.6667 0.7520 [2 per cell]

Properties
The density comes out at 10.7 g cm⁻³. For the raw formation energy, the calculation gives -0.696 eV/atom. The density of states at the Fermi level is 1.04 states/eV per atom.

***

Record 6
Cs3PuSe4: optimized geometry, GGA-PBE.

a b c (Å): 4.975 8.493 17.299
angles (deg): 90.00 90.00 90.00
Space group Immm (No. 71)
Unique sites:
Cs1 0.000 0.000 0.000 [2 per cell]
Cs2 0.000 0.500 0.227 [4 per cell]
Pu1 0.000 0.000 0.500 [2 per cell]
Se1 0.000 0.223 0.391 [8 per cell]

Properties
The density comes out at 4.4 g cm⁻³. For the raw formation energy, the calculation gives -0.992 eV/atom. The density of states at the Fermi level is 1.61 states/eV per atom.

***

Record 7
Cs5PuSe5: optimized geometry, GGA-PBE.

a b c (Å): 16.307 6.654 9.701
angles (deg): 90.00 110.23 90.00
Space group C2/m (No. 12)
Unique sites:
Cs1 0.000 0.000 0.000 [2 per cell]
Cs2 0.169 0.500 0.334 [4 per cell]
Cs3 0.197 0.500 0.801 [4 per cell]
Pu1 0.000 0.000 0.500 [2 per cell]
Se1 0.000 0.500 0.500 [2 per cell]
Se2 0.127 0.000 0.373 [4 per cell]
Se3 0.130 0.000 0.776 [4 per cell]

Properties
The density comes out at 4.4 g cm⁻³. For the raw formation energy, the calculation gives -1.071 eV/atom. The density of states at the Fermi level is 0.89 states/eV per atom.

***

Record 8
CsPu3Se6: optimized geometry, GGA-PBE.

a b c (Å): 12.601 4.236 12.861
angles (deg): 90.00 107.11 90.00
Space group P2_1/m (No. 11)
Unique sites:
Cs1 0.129 0.250 0.404 [2 per cell]
Pu1 0.152 0.750 0.044 [2 per cell]
Pu2 0.245 0.250 0.794 [2 per cell]
Pu3 0.468 0.250 0.348 [2 per cell]
Se1 0.051 0.250 0.892 [2 per cell]
Se2 0.163 0.750 0.649 [2 per cell]
Se3 0.251 0.250 0.184 [2 per cell]
Se4 0.322 0.750 0.942 [2 per cell]
Se5 0.375 0.750 0.443 [2 per cell]
Se6 0.453 0.250 0.752 [2 per cell]

Properties
The density comes out at 6.8 g cm⁻³. For the raw formation energy, the calculation gives -1.294 eV/atom. The density of states at the Fermi level is 3.00 states/eV per atom.